Crystalline ReTcH2 at its relaxed geometry, computed with PBE.

a b c (Å): 2.8964 2.8964 14.6753
angles (deg): 90.00 90.00 120.00
With the nearest neighbours (Å) after each atom.
Space group R-3m (No. 166, hexagonal axes)
Inequivalent atoms, fractional coordinates:
1 Re 0.0000 0.0000 0.0000 (multiplicity 3)  2 H 1.76
2 Tc 0.0000 0.0000 0.5000 (multiplicity 3)  6 H 1.81
3 H 0.0000 0.0000 0.1202 (multiplicity 6)  1 Re 1.76, 3 Tc 1.81

Summary:
Excess energy over the best structure of this formula in the dataset in eV/atom: 0.012
Uncorrected energy in eV/atom: -7.11